[1]
{
  "formula": "InOs2Br",
  "functional": "GGA-PBE",
  "state": "relaxed",
  "lattice": [[4.651, 0.000, 0.000], [2.325, 4.028, 0.000], [2.325, 1.343, 3.797]],
  "species": ["Os", "Os", "Br", "In"],
  "frac_coords": [[0.000, 0.000, 0.000], [0.250, 0.250, 0.250], [0.500, 0.500, 0.500], [0.750, 0.750, 0.750]],
  "n_ef_per_ev_cell": 5.9,
  "raw_formation_energy_ev_per_atom": 1.366,
  "space_group": "No. 216",
  "crystal_system": "cubic",
  "de_polymorph_mev_per_atom": 898
}

[2]
{
  "formula": "Li3CdP2",
  "functional": "GGA-PBE",
  "state": "relaxed",
  "lattice": [[-0.387, -5.835, -1.472], [5.157, -1.185, 3.342], [-5.797, 2.498, 3.972]],
  "species": ["Li", "Li", "Li", "Li", "Li", "Li", "Cd", "Cd", "P", "P", "P", "P"],
  "frac_coords": [[0.500, 0.250, 0.000], [0.500, 0.750, 0.000], [0.763, 0.013, 0.526], [0.237, 0.487, 0.474], [0.237, 0.987, 0.474], [0.763, 0.513, 0.526], [0.000, 0.500, 0.000], [0.000, 0.000, 0.000], [0.571, 0.361, 0.721], [0.850, 0.139, 0.279], [0.150, 0.861, 0.721], [0.429, 0.639, 0.279]],
  "n_ef_per_ev_cell": 7.5,
  "space_group": "No. 72",
  "crystal_system": "orthorhombic",
  "formation_energy_ev_per_atom": -0.34
}

no.,magnetization (μB per formula unit)
1,0.00
2,0.00